Computed, not measured: a geometry-optimized Cs2InPSe4 structure at the GGA-PBE level of DFT.

a = 14.7912 Å, b = 13.1552 Å, c = 8.1584 Å
α = 84.43°, β = 62.28°, γ = 33.30°
With the nearest neighbours (Å) after each atom.
Fractional coordinates of all 16 atoms:
Cs 0.0549 0.0549 0.6951  8 Se 3.90-4.03
Cs 0.3049 0.3049 0.9451  8 Se 3.90-4.03
Cs 0.6951 0.6951 0.0549  8 Se 3.90-4.03
Cs 0.9451 0.9451 0.3049  8 Se 3.90-4.03
In 0.1250 0.1250 0.1250  4 Se 2.62
In 0.8750 0.8750 0.8750  4 Se 2.62
P 0.3750 0.3750 0.3750  4 Se 2.53
P 0.6250 0.6250 0.6250  4 Se 2.53
Se 0.0158 0.3425 0.4282  1 P 2.53, 1 In 2.62
Se 0.2865 0.5718 0.6575  1 P 2.53, 1 In 2.62
Se 0.3425 0.0158 0.7135  1 P 2.53, 1 In 2.62
Se 0.4282 0.7135 0.0158  1 P 2.53, 1 In 2.62
Se 0.5718 0.2865 0.9842  1 P 2.53, 1 In 2.62
Se 0.6575 0.9842 0.2865  1 P 2.53, 1 In 2.62
Se 0.7135 0.4282 0.3425  1 P 2.53, 1 In 2.62
Se 0.9842 0.6575 0.5718  1 P 2.53, 1 In 2.62

Output
Formation energy (no corrections) ... -640 meV/atom
Volume ... 38.56 A^3/atom
Total magnetic moment ... 0.0 μB/cell